[1]
ZrSnPO | PBE | optimized geometry

Geometry as POSCAR:
```
ZrSnPO
1.0
4.819 0.000 0.000
0.000 4.819 0.000
0.000 0.000 5.809
O P Zr Sn
2 2 2 2
Direct
0.000 0.000 0.000 O
0.500 0.500 0.000 O
0.000 0.500 0.661 P
0.500 0.000 0.339 P
0.000 0.000 0.500 Zr
0.500 0.500 0.500 Zr
0.000 0.500 0.092 Sn
0.500 0.000 0.908 Sn
```

Values from the calculation:
total magnetic moment: 0.0 μB per cell
V: 16.865 Å³/atom
relative energy among the computed polymorphs: 346 meV per atom
SG: P4/nmm
crystal system: tetragonal

[2]
Pm6SmS8 | PBE | optimized geometry

Geometry as POSCAR:
```
Pm6SmS8
1.0
6.336 -0.757 4.891
-1.090 -1.997 7.712
2.209 -7.273 2.620
S Pm Sm
8 6 1
Direct
0.751 0.249 0.751 S
0.249 0.751 0.249 S
0.751 0.751 0.249 S
0.250 0.250 0.250 S
0.249 0.751 0.751 S
0.249 0.249 0.751 S
0.750 0.750 0.750 S
0.751 0.249 0.249 S
0.000 0.500 0.000 Pm
0.000 0.000 0.500 Pm
0.000 0.500 0.500 Pm
0.500 0.500 0.000 Pm
0.500 0.000 0.000 Pm
0.500 0.000 0.500 Pm
0.000 0.000 0.000 Sm
```

Values from the calculation:
total magnetic moment: 0.0 μB per cell
V: 24.503 Å³/atom
SG: Fm-3m
crystal system: cubic

[3]
PdW2S6 | PBE | optimized geometry

Geometry as POSCAR:
```
PdW2S6
1.0
-0.745 5.365 3.484
0.035 3.142 5.622
8.831 -1.273 -4.546
S W Pd
6 2 1
Direct
0.334 0.334 0.459 S
0.666 0.666 0.541 S
0.986 0.986 0.755 S
0.785 0.785 0.863 S
0.215 0.215 0.137 S
0.014 0.014 0.245 S
0.675 0.675 0.291 W
0.325 0.325 0.709 W
0.000 0.000 0.000 Pd
```

Values from the calculation:
total magnetic moment: 0.0 μB per cell
V: 19.521 Å³/atom
SG: C2/m
crystal system: monoclinic

[4]
Na4Zn2NiPt | PBE | optimized geometry

Geometry as POSCAR:
```
Na4Zn2NiPt
1.0
4.641 0.000 0.000
0.000 4.641 0.000
0.000 0.000 6.575
Na Zn Ni Pt
4 2 1 1
Direct
0.000 0.000 0.500 Na
0.000 0.500 0.756 Na
0.500 0.000 0.244 Na
0.500 0.500 0.000 Na
0.000 0.500 0.249 Zn
0.500 0.000 0.751 Zn
0.000 0.000 0.000 Ni
0.500 0.500 0.500 Pt
```

Values from the calculation:
total magnetic moment: 0.0 μB per cell
V: 17.702 Å³/atom
SG: P-4m2
crystal system: tetragonal

[5]
NaNbTlCo | PBE | optimized geometry

Geometry as POSCAR:
```
NaNbTlCo
1.0
3.816 -1.404 2.301
-0.417 -2.112 4.147
0.939 -4.559 0.405
Na Co Nb Tl
1 1 1 1
Direct
0.750 0.750 0.750 Na
0.500 0.500 0.500 Co
0.250 0.250 0.250 Nb
0.000 0.000 0.000 Tl
```

Values from the calculation:
total magnetic moment: 0.4 μB per cell
V: 18.033 Å³/atom
relative energy among the computed polymorphs: 139 meV per atom
SG: F-43m
crystal system: cubic

[6]
LiNb2Fe | PBE | optimized geometry

Geometry as POSCAR:
```
LiNb2Fe
1.0
1.821 -3.715 -1.395
-2.237 -2.677 -2.626
1.161 -0.424 -4.187
Nb Li Fe
2 1 1
Direct
0.000 0.000 0.000 Nb
0.750 0.750 0.750 Nb
0.500 0.500 0.500 Li
0.250 0.250 0.250 Fe
```

Values from the calculation:
total magnetic moment: 1.1 μB per cell
V: 14.713 Å³/atom
SG: F-43m
crystal system: cubic

[7]
Rb2CoCl4 | PBE | optimized geometry

Geometry as POSCAR:
```
Rb2CoCl4
1.0
-4.647 -4.304 11.029
-6.218 -1.693 -3.281
3.324 -8.496 -1.915
Cl Co Rb
16 4 8
Direct
0.413 0.750 0.015 Cl
0.086 0.250 0.820 Cl
0.844 0.501 0.817 Cl
0.914 0.750 0.180 Cl
0.414 0.250 0.320 Cl
0.656 0.501 0.317 Cl
0.913 0.250 0.485 Cl
0.156 0.001 0.183 Cl
0.344 0.499 0.683 Cl
0.587 0.250 0.985 Cl
0.087 0.750 0.515 Cl
0.656 0.999 0.317 Cl
0.844 0.999 0.817 Cl
0.586 0.750 0.680 Cl
0.156 0.499 0.183 Cl
0.344 0.001 0.683 Cl
0.923 0.250 0.726 Co
0.077 0.750 0.274 Co
0.423 0.750 0.774 Co
0.577 0.250 0.226 Co
0.589 0.250 0.630 Rb
0.911 0.250 0.130 Rb
0.325 0.250 0.986 Rb
0.089 0.750 0.870 Rb
0.675 0.750 0.014 Rb
0.175 0.250 0.486 Rb
0.825 0.750 0.514 Rb
0.411 0.750 0.370 Rb
```

Values from the calculation:
total magnetic moment: 12.0 μB per cell
V: 30.619 Å³/atom
SG: Pnma
crystal system: orthorhombic

[8]
BeReB4 | PBE | optimized geometry

Geometry as POSCAR:
```
BeReB4
1.0
1.183 -1.393 3.955
3.063 3.055 0.515
-4.324 -0.451 -0.286
B Re Be
4 1 1
Direct
0.924 0.264 0.661 B
0.397 0.736 0.661 B
0.076 0.736 0.339 B
0.603 0.264 0.339 B
0.500 0.500 0.000 Re
0.000 0.000 0.000 Be
```

Values from the calculation:
total magnetic moment: 0.0 μB per cell
V: 7.988 Å³/atom
relative energy among the computed polymorphs: 0 meV per atom
SG: Immm
crystal system: orthorhombic

[9]
YCuTcAs | PBE | optimized geometry

Geometry as POSCAR:
```
YCuTcAs
1.0
-1.699 0.195 4.245
-3.821 -2.293 1.043
0.207 -3.675 2.719
Tc Y As Cu
1 1 1 1
Direct
0.250 0.250 0.250 Tc
0.500 0.500 0.500 Y
0.000 0.000 0.000 As
0.750 0.750 0.750 Cu
```

Values from the calculation:
total magnetic moment: 0.0 μB per cell
V: 16.945 Å³/atom
relative energy among the computed polymorphs: 0 meV per atom
SG: F-43m
crystal system: cubic

[10]
Be2AlHg | PBE | optimized geometry

Geometry as POSCAR:
```
Be2AlHg
1.0
0.000 3.080 3.080
3.080 0.000 3.080
3.080 3.080 0.000
Hg Be Al
1 2 1
Direct
0.250 0.250 0.250 Hg
0.750 0.750 0.750 Be
0.000 0.000 0.000 Be
0.500 0.500 0.500 Al
```

Values from the calculation:
V: 14.604 Å³/atom
SG: F-43m
crystal system: cubic

[11]
SmBeO3 | PBE | optimized geometry

Geometry as POSCAR:
```
SmBeO3
1.0
1.241 -2.099 4.818
-3.892 -0.914 3.630
-1.480 -5.316 1.092
O Sm Be
6 2 2
Direct
0.984 0.602 0.247 O
0.398 0.833 0.753 O
0.016 0.398 0.753 O
0.602 0.167 0.247 O
0.833 0.016 0.753 O
0.167 0.984 0.247 O
0.369 0.369 0.892 Sm
0.631 0.631 0.108 Sm
0.101 0.101 0.697 Be
0.899 0.899 0.303 Be
```

Values from the calculation:
total magnetic moment: 2.0 μB per cell
V: 11.824 Å³/atom
SG: R-3
crystal system: trigonal

[12]
Sm2Dy2CI2BrCl2 | PBE | optimized geometry

Geometry as POSCAR:
```
Sm2Dy2CI2BrCl2
1.0
-3.911 3.900 -7.615
-5.607 0.423 -7.541
-5.158 2.639 5.726
I Sm C Br Cl Dy
2 2 1 1 2 2
Direct
0.827 0.827 0.208 I
0.173 0.173 0.792 I
0.363 0.363 0.931 Sm
0.637 0.637 0.069 Sm
0.500 0.500 0.000 C
0.500 0.500 0.500 Br
0.854 0.854 0.681 Cl
0.146 0.146 0.319 Cl
0.998 0.998 0.200 Dy
0.002 0.002 0.800 Dy
```

Values from the calculation:
total magnetic moment: 0.3 μB per cell
V: 28.571 Å³/atom
SG: C2/m
crystal system: monoclinic

For the records above, the corresponding uncorrected energy values read -6.6081; -6.4773; -6.6637; -2.3736; -4.5883; -7.1541; -3.7470; -7.1145; -6.2099; -2.2406; -6.9494; -5.0408 eV/atom.
For the records above, the corresponding theoretical density values read 6.324; 5.769; 6.299; 5.588; 8.730; 7.014; 2.880; 8.262; 7.971; 6.981; 5.824; 6.058 g/cm3.